Below is BeTeO2F at its PBEsol-relaxed geometry, with properties calculated at the SCAN level.

abc: 3.7796 3.7796 3.3403
angles: 90.00 90.00 90.00
Last column: nearest neighbours and their distance in Å.
Sites, in units of the cell vectors:
Be1 0.0000 0.0000 0.0000  2 F 1.67
Te1 0.5000 0.5000 0.5000  8 O 2.52, 4 F 2.67
O1 0.0000 0.5000 0.0000  2 Be 1.89
O2 0.5000 0.0000 0.0000  2 Be 1.89
F1 0.0000 0.0000 0.5000  2 Be 1.67

Total magnetization: 0.00 μB per formula unit
Fermi-level density of states: 0.31 states/eV/atom
Energy relative to the elements, uncorrected: -1370 meV/atom
Calculated density: 6.53 g cm⁻³
Electronic total energy: -12.89 eV per atom
Space group: P4/mmm